[1]
VASP calculation (PBE) on a relaxed structure of Mg2C3.

The energy relative to the lowest polymorph listed for this composition is 68.3 kJ per mole of atoms. The total energy is -79.4 eV per cell. For the formation energy, the calculation gives 4.4 eV per formula unit.

It has space group R-3m (No. 166, hexagonal axes), with a = 2.7651 Å, b = 2.7651 Å, c = 21.2766 Å, α = 90.00°, β = 90.00° and γ = 120.00°. The distinct sites, in fractional coordinates, are Mg at (0.0000, 0.0000, 0.0967), C at (0.0000, 0.0000, 0.3230) and C at (0.0000, 0.0000, 0.5000).



[2]
VASP calculation (PBE) on a relaxed structure of Mg5C.

The energy relative to the lowest polymorph listed for this composition is 8.8 kJ per mole of atoms. The total energy is -14.7 eV per cell. For the formation energy, the calculation gives 2.5 eV per formula unit.

It has space group P-62m (No. 189), with a = 6.9083 Å, b = 6.9083 Å, c = 3.1425 Å, α = 90.00°, β = 90.00° and γ = 120.00°. The distinct sites, in fractional coordinates, are Mg at (0.0000, 0.7654, 0.0000), Mg at (0.3333, 0.6667, 0.5000) and C at (0.0000, 0.0000, 0.5000).



[3]
VASP calculation (PBE) on a relaxed structure of MgC2.

The energy relative to the lowest polymorph listed for this composition is 5.9 kJ per mole of atoms. The total energy is -55.7 eV per cell. For the formation energy, the calculation gives 1.5 eV per formula unit.

It has space group R-3m (No. 166, hexagonal axes), with a = 2.6047 Å, b = 2.6047 Å, c = 16.4209 Å, α = 90.00°, β = 90.00° and γ = 120.00°. The distinct sites, in fractional coordinates, are Mg at (0.0000, 0.0000, 0.0000) and C at (0.0000, 0.0000, 0.1678).



[4]
VASP calculation (PBE) on a relaxed structure of MgC.

The energy relative to the lowest polymorph listed for this composition is 49.5 kJ per mole of atoms. The total energy is -36.8 eV per cell. For the formation energy, the calculation gives 1.6 eV per formula unit.

It has space group P6_3/mmc (No. 194), with a = 5.4008 Å, b = 5.4008 Å, c = 5.5451 Å, α = 90.00°, β = 90.00° and γ = 120.00°. The distinct sites, in fractional coordinates, are Mg at (0.0000, 0.0000, 0.2500), Mg at (0.3333, 0.6667, 0.2500) and C at (0.3333, 0.6667, 0.6355).



[5]
VASP calculation (PBE) on a relaxed structure of MgC2.

The energy relative to the lowest polymorph listed for this composition is 115.5 kJ per mole of atoms. The total energy is -60.6 eV per cell. For the formation energy, the calculation gives 4.9 eV per formula unit.

It has space group P6_3/mmc (No. 194), with a = 4.0325 Å, b = 4.0325 Å, c = 9.2953 Å, α = 90.00°, β = 90.00° and γ = 120.00°. The distinct sites, in fractional coordinates, are Mg at (0.3333, 0.6667, 0.0977), C at (0.0000, 0.0000, 0.0000) and C at (0.1207, 0.2413, 0.7500).



[6]
VASP calculation (PBE) on a relaxed structure of MgC2.

The energy relative to the lowest polymorph listed for this composition is 23.1 kJ per mole of atoms. The total energy is -72.1 eV per cell. For the formation energy, the calculation gives 2.0 eV per formula unit.

It has space group Imma (No. 74), with a = 2.609 Å, b = 3.570 Å, c = 13.022 Å, α = 90.00°, β = 90.00° and γ = 90.00°. The distinct sites, in fractional coordinates, are Mg at (0.000, 0.250, 0.080), C at (0.000, 0.250, 0.608) and C at (0.000, 0.250, 0.721).



[7]
VASP calculation (PBE) on a relaxed structure of MgC2.

The energy relative to the lowest polymorph listed for this composition is 70.9 kJ per mole of atoms. The total energy is -66.2 eV per cell. For the formation energy, the calculation gives 3.5 eV per formula unit.

It has space group Cmcm (No. 63), with a = 2.779 Å, b = 14.727 Å, c = 2.579 Å, α = 90.00°, β = 90.00° and γ = 90.00°. The distinct sites, in fractional coordinates, are Mg at (0.000, 0.116, 0.250), C at (0.000, 0.246, 0.750) and C at (0.000, 0.475, 0.250).



[8]
VASP calculation (PBE) on a relaxed structure of MgC2.

The energy relative to the lowest polymorph listed for this composition is 2.2 kJ per mole of atoms. The total energy is -37.4 eV per cell. For the formation energy, the calculation gives 1.4 eV per formula unit.

It has space group Immm (No. 71), with a = 3.318 Å, b = 4.581 Å, c = 4.814 Å, α = 90.00°, β = 90.00° and γ = 90.00°. The distinct sites, in fractional coordinates, are Mg at (0.000, 0.000, 0.000) and C at (0.000, 0.137, 0.500).



[9]
VASP calculation (PBE) on a relaxed structure of Mg3C4.

The energy relative to the lowest polymorph listed for this composition is 11.1 kJ per mole of atoms. The total energy is -35.5 eV per cell. For the formation energy, the calculation gives 6.2 eV per formula unit.

It has space group P-43m (No. 215), with a = 4.386 Å, b = 4.386 Å, c = 4.386 Å, α = 90.00°, β = 90.00° and γ = 90.00°. The distinct sites, in fractional coordinates, are Mg at (0.000, 0.000, 0.500) and C at (0.375, 0.375, 0.375).



[10]
VASP calculation (PBE) on a relaxed structure of Mg3C4.

The energy relative to the lowest polymorph listed for this composition is 84.0 kJ per mole of atoms. The total energy is -60.4 eV per cell. For the formation energy, the calculation gives 11.5 eV per formula unit.

It has space group I4/mmm (No. 139), with a = 2.614 Å, b = 2.614 Å, c = 20.756 Å, α = 90.00°, β = 90.00° and γ = 90.00°. The distinct sites, in fractional coordinates, are Mg at (0.000, 0.000, 0.000), Mg at (0.000, 0.000, 0.313), C at (0.000, 0.000, 0.108) and C at (0.000, 0.000, 0.419).



[11]
VASP calculation (PBE) on a relaxed structure of MgC.

The energy relative to the lowest polymorph listed for this composition is 48.2 kJ per mole of atoms. The total energy is -55.3 eV per cell. For the formation energy, the calculation gives 1.6 eV per formula unit.

It has space group R-3m (No. 166, hexagonal axes), with a = 5.5644 Å, b = 5.5644 Å, c = 8.3646 Å, α = 90.00°, β = 90.00° and γ = 120.00°. The distinct sites, in fractional coordinates, are Mg at (0.0000, 0.0000, 0.1727) and C at (0.0000, 0.0000, 0.4247).



[12]
VASP calculation (PBE) on a relaxed structure of Mg4C3.

The energy relative to the lowest polymorph listed for this composition is 40.0 kJ per mole of atoms. The total energy is -25.1 eV per cell. For the formation energy, the calculation gives 8.9 eV per formula unit.

It has space group P-43m (No. 215), with a = 5.184 Å, b = 5.184 Å, c = 5.184 Å, α = 90.00°, β = 90.00° and γ = 90.00°. The distinct sites, in fractional coordinates, are Mg at (0.218, 0.218, 0.218) and C at (0.000, 0.000, 0.500).